Record 1
This record from Alexandria via LeMat-Bulk describes a relaxed structure of BaMg4Mo. The functional is PBE.

Cell: 8.546 8.546 8.546 Å, 90.00 90.00 90.00°
Space group F-43m (No. 216)
Inequivalent atoms, fractional coordinates:
Ba  0.000  0.000  0.000 (multiplicity 4)
Mg  0.123  0.123  0.623 (multiplicity 16)
Mo  0.250  0.250  0.250 (multiplicity 4)

Computed properties:
DFT total energy: -2.735 eV per atom
Energy of formation from the pure elements: 0.45 eV per atom
Magnetization: 14.65 Bohr magnetons per cell
Crystal system: cubic
V: 26.01 Å³ per atom

=====

Record 2
This record from Alexandria via LeMat-Bulk describes a relaxed structure of CePbCl. The functional is PBE.

Cell: 4.633 15.620 4.579 Å, 90.00 90.00 90.00°
Space group Cmcm (No. 63)
Inequivalent atoms, fractional coordinates:
Ce  0.000  0.125  0.250 (multiplicity 4)
Pb  0.000  0.436  0.250 (multiplicity 4)
Cl  0.000  0.253  0.750 (multiplicity 4)

Computed properties:
DFT total energy: -4.961 eV per atom
Energy relative to the elements, uncorrected: -1.131 eV per atom
Magnetization: 4.50 Bohr magnetons per cell
Crystal system: orthorhombic
V: 27.62 Å³ per atom

=====

Record 3
This record from Alexandria via LeMat-Bulk describes a relaxed structure of ZrTc2Rh. The functional is PBE.

Cell: 2.7987 2.7987 28.6036 Å, 90.00 90.00 120.00°
Space group R-3m (No. 166, hexagonal axes)
Inequivalent atoms, fractional coordinates:
Zr  0.0000  0.0000  0.0000 (multiplicity 3)
Tc  0.0000  0.0000  0.2427 (multiplicity 6)
Rh  0.0000  0.0000  0.5000 (multiplicity 3)

Computed properties:
E above lowest polymorph: 137 kJ/mol of formula units
DFT total energy: -8.968 eV per atom
Energy of formation from the pure elements: 0.19 eV per atom
Magnetization: 0.00 Bohr magnetons per cell
Crystal system: trigonal
V: 16.17 Å³ per atom

=====

Record 4
This record from Alexandria via LeMat-Bulk describes a relaxed structure of MgOs2Pt. The functional is PBE.

Cell: 2.7652 2.7652 27.4824 Å, 90.00 90.00 120.00°
Space group R-3m (No. 166, hexagonal axes)
Inequivalent atoms, fractional coordinates:
Mg  0.0000  0.0000  0.0000 (multiplicity 3)
Os  0.0000  0.0000  0.2493 (multiplicity 6)
Pt  0.0000  0.0000  0.5000 (multiplicity 3)

Computed properties:
DFT total energy: -7.292 eV per atom
Energy of formation from the pure elements: 0.23 eV per atom
Magnetization: 0.00 Bohr magnetons per cell
Crystal system: trigonal
V: 15.17 Å³ per atom